The following is a DFT calculation (PBE) of a relaxed MoC2 crystal.

CIF file:
```
data_MoC2
_space_group_name_H-M_alt 'R -3 m'
_space_group_IT_number 166
_space_group_name_Hall '-R 3 2"'
_cell_length_a 2.6794
_cell_length_b 2.6794
_cell_length_c 12.5353
_cell_angle_alpha 90.00
_cell_angle_beta 90.00
_cell_angle_gamma 120.00
loop_
_atom_site_label
_atom_site_type_symbol
_atom_site_fract_x
_atom_site_fract_y
_atom_site_fract_z
Mo1 Mo 0.0000 0.0000 0.0000
C1 C 0.0000 0.0000 0.1846
```

## Properties
formation enthalpy at 0 K = 83.9 kJ/mol of atoms
polymorph energy (0 for the lowest one) = 351 meV per atom



The following is a DFT calculation (PBE) of a relaxed TmPO4 crystal.

CIF file:
```
data_TmPO4
_space_group_name_H-M_alt 'I 41/a m d'
_space_group_IT_number 141
_cell_length_a 6.879
_cell_length_b 6.879
_cell_length_c 5.993
_cell_angle_alpha 90.00
_cell_angle_beta 90.00
_cell_angle_gamma 90.00
loop_
_space_group_symop_operation_xyz
'x,y,z'
'-x,-y,-z'
'-y+1/4,x+3/4,z+1/4'
'y+1/4,-x+3/4,-z+1/4'
'-x+1/2,-y,z+1/2'
'x+1/2,y,-z+1/2'
'y+1/4,-x+1/4,z+3/4'
'-y+1/4,x+1/4,-z+3/4'
'x,-y,-z'
'-x,y,z'
'-y+1/4,-x+1/4,-z+3/4'
'y+1/4,x+1/4,z+3/4'
'-x+1/2,y,-z+1/2'
'x+1/2,-y,z+1/2'
'y+1/4,x+3/4,-z+1/4'
'-y+1/4,-x+3/4,z+1/4'
'x+1/2,y+1/2,z+1/2'
'-x+1/2,-y+1/2,-z+1/2'
'-y+3/4,x+1/4,z+3/4'
'y+3/4,-x+1/4,-z+3/4'
'-x,-y+1/2,z'
'x,y+1/2,-z'
'y+3/4,-x+3/4,z+1/4'
'-y+3/4,x+3/4,-z+1/4'
'x+1/2,-y+1/2,-z+1/2'
'-x+1/2,y+1/2,z+1/2'
'-y+3/4,-x+3/4,-z+1/4'
'y+3/4,x+3/4,z+1/4'
'-x,y+1/2,-z'
'x,-y+1/2,z'
'y+3/4,x+1/4,-z+3/4'
'-y+3/4,-x+1/4,z+3/4'
loop_
_atom_site_label
_atom_site_type_symbol
_atom_site_fract_x
_atom_site_fract_y
_atom_site_fract_z
Tm1 Tm 0.000 0.250 0.375
P1 P 0.000 0.250 0.875
O1 O 0.000 0.074 0.712
```

## Properties
formation energy without anion corrections = -3056 meV per atom



The following is a DFT calculation (PBE) of a relaxed Sm4Er6Tm crystal.

CIF file:
```
data_Sm4Er6Tm
_space_group_name_H-M_alt 'P -6 m 2'
_space_group_IT_number 187
_space_group_name_Hall 'P -6 2'
_cell_length_a 10.9177
_cell_length_b 10.9177
_cell_length_c 3.5329
_cell_angle_alpha 90.00
_cell_angle_beta 90.00
_cell_angle_gamma 120.00
loop_
_atom_site_label
_atom_site_type_symbol
_atom_site_fract_x
_atom_site_fract_y
_atom_site_fract_z
Sm1 Sm 0.0000 0.0000 0.0000
Sm2 Sm 0.0048 0.5024 0.5000
Er1 Er 0.1537 0.3073 0.5000
Er2 Er 0.3533 0.1766 0.0000
Tm1 Tm 0.3333 0.6667 0.0000
```

## Properties
formation enthalpy at 0 K = 16.1 kJ/mol of atoms
polymorph energy (0 for the lowest one) = 0 meV per atom



The following is a DFT calculation (PBE) of a relaxed KAcIn2 crystal.

CIF file:
```
data_KAcIn2
_space_group_name_H-M_alt 'P 4/m m m'
_space_group_IT_number 123
_space_group_name_Hall '-P 4 2'
_cell_length_a 4.109
_cell_length_b 4.109
_cell_length_c 8.767
_cell_angle_alpha 90.00
_cell_angle_beta 90.00
_cell_angle_gamma 90.00
loop_
_atom_site_label
_atom_site_type_symbol
_atom_site_fract_x
_atom_site_fract_y
_atom_site_fract_z
K1 K 0.000 0.000 0.000
Ac1 Ac 0.000 0.000 0.500
In1 In 0.500 0.500 0.280
```

## Properties
formation enthalpy at 0 K = -20.0 kJ/mol of atoms
polymorph energy (0 for the lowest one) = 0 meV per atom



The following is a DFT calculation (PBE) of a relaxed Tl3Te crystal.

CIF file:
```
data_Tl3Te
_space_group_name_H-M_alt 'P 4 m m'
_space_group_IT_number 99
_cell_length_a 5.076
_cell_length_b 5.076
_cell_length_c 5.077
_cell_angle_alpha 90.00
_cell_angle_beta 90.00
_cell_angle_gamma 90.00
loop_
_space_group_symop_operation_xyz
'x,y,z'
'-y,x,z'
'-x,-y,z'
'y,-x,z'
'-x,y,z'
'y,x,z'
'x,-y,z'
'-y,-x,z'
loop_
_atom_site_label
_atom_site_type_symbol
_atom_site_fract_x
_atom_site_fract_y
_atom_site_fract_z
Tl1 Tl 0.000 0.000 0.000
Tl2 Tl 0.000 0.500 0.499
Te1 Te 0.500 0.500 0.999
```

## Properties
formation energy without anion corrections = -203 meV per atom
polymorph energy (0 for the lowest one) = 0 meV per atom



The following is a DFT calculation (PBE) of a relaxed SbIrRh2O crystal.

CIF file:
```
data_SbIrRh2O
_space_group_name_H-M_alt 'P 4/m m m'
_space_group_IT_number 123
_space_group_name_Hall '-P 4 2'
_cell_length_a 4.907
_cell_length_b 4.907
_cell_length_c 3.865
_cell_angle_alpha 90.00
_cell_angle_beta 90.00
_cell_angle_gamma 90.00
loop_
_atom_site_label
_atom_site_type_symbol
_atom_site_fract_x
_atom_site_fract_y
_atom_site_fract_z
Sb1 Sb 0.000 0.000 0.000
Ir1 Ir 0.500 0.500 0.500
Rh1 Rh 0.000 0.500 0.000
O1 O 0.000 0.000 0.500
```

## Properties
formation energy without anion corrections = 1044 meV per atom